# Tl2NiPdSe4 | the Alexandria database | PBE | relaxed
data_Tl2NiPdSe4
_chemical_formula_sum 'Tl4 Ni2 Pd2 Se8'
_cell_length_a 5.700
_cell_length_b 7.481
_cell_length_c 10.987
_cell_angle_alpha 84.33
_cell_angle_beta 74.97
_cell_angle_gamma 67.61
_symmetry_space_group_name_H-M 'P 1'
_symmetry_Int_Tables_number 1
loop_
_symmetry_equiv_pos_as_xyz
'x,y,z'
loop_
_atom_site_label
_atom_site_fract_x
_atom_site_fract_y
_atom_site_fract_z
_atom_site_occupancy
Se1 0.861 0.698 0.628 1
Se2 0.889 0.802 0.872 1
Se3 0.187 0.302 0.372 1
Se4 0.239 0.198 0.872 1
Se5 0.309 0.802 0.128 1
Se6 0.511 0.302 0.628 1
Se7 0.441 0.698 0.372 1
Se8 0.563 0.198 0.128 1
Tl1 0.811 0.000 0.379 1
Tl2 0.189 0.000 0.621 1
Tl3 0.561 0.500 0.879 1
Tl4 0.939 0.500 0.121 1
Pd1 0.000 0.000 0.000 1
Pd2 0.750 0.500 0.500 1
Ni1 0.250 0.500 0.500 1
Ni2 0.500 0.000 0.000 1
# Size of the total moment: 0.00 μB/f.u.
# Calculated total energy: -3.912 eV/atom